No. 1
VASP calculation (GGA-PBE) on Th3Al7Au4 after structural relaxation. Values from VASP.

Structure (Quantum ESPRESSO input):
```
&SYSTEM
  ibrav = 0, nat = 14, ntyp = 3
/
ATOMIC_SPECIES
Au 196.97 Au.upf
Al 26.98 Al.upf
Th 232.04 Th.upf
ATOMIC_POSITIONS crystal
Au 0.1325 0.0935 0.6416
Al 0.6728 0.1897 0.4648
Al 0.5016 0.2132 0.7837
Au 0.3434 0.5292 0.7839
Al 0.1507 0.6207 0.0778
Au 0.6566 0.4708 0.2161
Al 0.8493 0.3793 0.9222
Au 0.8675 0.9065 0.3584
Th 0.3161 0.1883 0.1795
Al 0.0000 0.0000 0.0000
Al 0.4984 0.7868 0.2163
Th 0.6839 0.8117 0.8205
Al 0.3272 0.8103 0.5352
Th 0.0000 0.5000 0.5000
CELL_PARAMETERS angstrom
-2.8688 1.9663 -2.7019
-5.7865 3.4633 5.0750
1.6394 8.3936 0.7783
```

- calculated volume (Å³/cell) = 286.3
- space group = C2/m, No. 12
- density of states at the Fermi level (states/eV/cell) = 7.6
- DFT formation energy (kJ per mole of atoms) = -59.16



No. 2
VASP calculation (GGA-PBE) on TlInPb after structural relaxation. Values from VASP.

Structure (Quantum ESPRESSO input):
```
&SYSTEM
  ibrav = 0, nat = 3, ntyp = 3
/
ATOMIC_SPECIES
Pb 207.20 Pb.upf
Tl 204.38 Tl.upf
In 114.82 In.upf
ATOMIC_POSITIONS crystal
Pb 0.3400 0.3400 0.0000
Tl 0.6609 0.6609 0.0000
In 0.9991 0.9991 0.0000
CELL_PARAMETERS angstrom
-0.8586 -2.0071 -6.8898
-1.1932 -6.0738 -3.7310
-1.5187 4.4120 5.5193
```

- calculated volume (Å³/cell) = 89.9
- space group = I4mm, No. 107
- density of states at the Fermi level (states/eV/cell) = 1.2
- DFT formation energy (kJ per mole of atoms) = 1.45
- offset from the most stable computed form (meV per atom) = 6



No. 3
VASP calculation (GGA-PBE) on NaInPd2 after structural relaxation. Values from VASP.

Structure (Quantum ESPRESSO input):
```
&SYSTEM
  ibrav = 0, nat = 4, ntyp = 3
/
ATOMIC_SPECIES
Na 22.99 Na.upf
Pd 106.42 Pd.upf
In 114.82 In.upf
ATOMIC_POSITIONS crystal
Na 0.5000 0.5000 0.5000
Pd 0.2564 0.2564 0.2307
Pd 0.7436 0.7436 0.7693
In 0.0000 0.0000 0.0000
CELL_PARAMETERS angstrom
-1.3707 -1.5489 2.4610
0.4673 -3.1587 0.3719
6.6935 0.0438 5.8551
```

- calculated volume (Å³/cell) = 77.8
- space group = R-3m, No. 166
- density of states at the Fermi level (states/eV/cell) = 2.6
- DFT formation energy (kJ per mole of atoms) = -17.76



No. 4
VASP calculation (GGA-PBE) on Sc2PbS after structural relaxation. Values from VASP.

Structure (Quantum ESPRESSO input):
```
&SYSTEM
  ibrav = 0, nat = 4, ntyp = 3
/
ATOMIC_SPECIES
Pb 207.20 Pb.upf
Sc 44.96 Sc.upf
S 32.06 S.upf
ATOMIC_POSITIONS crystal
Pb 0.5000 0.5000 0.5000
Sc 0.0862 0.0862 0.0862
Sc 0.9138 0.9138 0.9138
S 0.0000 0.0000 0.0000
CELL_PARAMETERS angstrom
5.7696 -5.3625 4.8275
8.1622 -3.4069 2.6684
6.8666 -1.9121 5.8774
```

- calculated volume (Å³/cell) = 110.5
- space group = R-3m, No. 166
- density of states at the Fermi level (states/eV/cell) = 2.9
- formation energy from raw total energies (eV per formula unit) = -1.65
- offset from the most stable computed form (meV per atom) = 742



No. 5
VASP calculation (GGA-PBE) on InAu7 after structural relaxation. Values from VASP.

Structure (Quantum ESPRESSO input):
```
&SYSTEM
  ibrav = 0, nat = 8, ntyp = 2
/
ATOMIC_SPECIES
Au 196.97 Au.upf
In 114.82 In.upf
ATOMIC_POSITIONS crystal
Au 0.0000 0.0000 0.5000
Au 0.5000 0.5000 0.5000
Au 0.0000 0.5000 0.5000
In 0.0000 0.0000 0.0000
Au 0.5000 0.5000 0.0000
Au 0.5000 0.0000 0.5000
Au 0.0000 0.5000 0.0000
Au 0.5000 0.0000 0.0000
CELL_PARAMETERS angstrom
-2.4775 4.8780 2.3139
-4.6613 2.5222 -2.6829
-5.3830 -0.3001 2.4940
```

- calculated volume (Å³/cell) = 148.2
- space group = Fm-3m, No. 225
- density of states at the Fermi level (states/eV/cell) = 1.8
- DFT formation energy (kJ per mole of atoms) = -6.20



No. 6
VASP calculation (GGA-PBE) on SnGe2F2 after structural relaxation. Values from VASP.

Structure (Quantum ESPRESSO input):
```
&SYSTEM
  ibrav = 0, nat = 10, ntyp = 3
/
ATOMIC_SPECIES
Sn 118.71 Sn.upf
Ge 72.64 Ge.upf
F 19.00 F.upf
ATOMIC_POSITIONS crystal
Sn 0.0000 0.0000 0.0000
Ge 0.2517 0.7517 0.0000
Ge 0.7517 0.7483 0.0000
Ge 0.2483 0.2517 0.0000
F 0.6269 0.8731 0.5000
F 0.1269 0.6269 0.5000
Sn 0.5000 0.5000 0.0000
F 0.3731 0.1269 0.5000
Ge 0.7483 0.2483 0.0000
F 0.8731 0.3731 0.5000
CELL_PARAMETERS angstrom
8.2318 0.0000 0.0000
0.0000 8.2318 0.0000
0.0000 0.0000 3.0175
```

- calculated volume (Å³/cell) = 204.5
- space group = P4/mbm, No. 127
- density of states at the Fermi level (states/eV/cell) = 3.8
- formation energy from raw total energies (eV per formula unit) = -4.35
- offset from the most stable computed form (meV per atom) = 0



No. 7
VASP calculation (GGA-PBE) on ScMoRh4 after structural relaxation. Values from VASP.

Structure (Quantum ESPRESSO input):
```
&SYSTEM
  ibrav = 0, nat = 6, ntyp = 3
/
ATOMIC_SPECIES
Mo 95.94 Mo.upf
Rh 102.91 Rh.upf
Sc 44.96 Sc.upf
ATOMIC_POSITIONS crystal
Mo 0.0000 0.0000 0.0000
Rh 0.8741 0.3753 0.3753
Rh 0.3753 0.3753 0.3753
Sc 0.7500 0.7500 0.7500
Rh 0.3753 0.8741 0.3753
Rh 0.3753 0.3753 0.8741
CELL_PARAMETERS angstrom
-2.2312 -4.0699 -2.1869
-4.8399 0.3182 -1.6731
-0.9779 0.0084 -5.0367
```

- calculated volume (Å³/cell) = 95.5
- space group = F-43m, No. 216
- density of states at the Fermi level (states/eV/cell) = 9.1
- DFT formation energy (kJ per mole of atoms) = -14.85



No. 8
VASP calculation (GGA-PBE) on MgRe2Ag after structural relaxation. Values from VASP.

Structure (Quantum ESPRESSO input):
```
&SYSTEM
  ibrav = 0, nat = 4, ntyp = 3
/
ATOMIC_SPECIES
Ag 107.87 Ag.upf
Re 186.21 Re.upf
Mg 24.30 Mg.upf
ATOMIC_POSITIONS crystal
Ag 0.5000 0.5000 0.2500
Re 0.0000 0.0000 0.5170
Re 0.0000 0.0000 0.9830
Mg 0.5000 0.5000 0.7500
CELL_PARAMETERS angstrom
2.6907 0.0000 0.0000
0.0000 4.5786 0.0000
0.0000 0.0000 5.2672
```

- calculated volume (Å³/cell) = 64.9
- space group = Pmmm, No. 47
- density of states at the Fermi level (states/eV/cell) = 3.4
- DFT formation energy (kJ per mole of atoms) = 50.49